Entry 1:
DFT (GGA-PBE) results for an optimized crystal structure of GeAu2I.

Geometry as extended XYZ:
```
8
Lattice="-3.445 3.445 4.795 3.445 -3.445 4.795 3.445 3.445 -4.795" Properties=species:S:1:pos:R:3 pbc="T T T"
Ge 0.000 0.000 0.000
Ge 0.000 3.445 2.397
Au 1.723 1.365 -1.199
Au 2.080 -1.723 5.994
Au 1.723 2.080 3.596
Au 1.365 5.168 1.199
I 3.445 0.000 2.397
I 0.000 0.000 4.795
```

Summary:
Space group: No. 122
ΔE_f (raw), meV/atom: 117.3
Distance to the lowest polymorph of the same formula, kJ/mol of formula units: 8
Final energy, eV per atom: -3.0633

Entry 2:
DFT (GGA-PBE) results for an optimized crystal structure of GeAuI5.

Geometry as extended XYZ:
```
14
Lattice="7.489 0.000 0.000 -1.401 9.369 0.000 -3.031 -4.689 10.281" Properties=species:S:1:pos:R:3 pbc="T T T"
Ge 0.000 0.000 0.000
Ge -0.688 4.682 4.116
Au -1.859 -0.007 7.195
Au 1.885 -0.006 7.195
I -3.280 2.937 8.818
I -1.839 6.427 5.578
I 1.712 1.150 1.497
I 1.026 5.830 2.618
I 0.465 2.939 5.580
I 0.013 -0.007 8.993
I 3.757 -0.004 5.397
I 3.307 -2.945 8.817
I 4.373 8.219 1.494
I 5.087 3.530 2.622
```

Summary:
Space group: No. 1
ΔE_f (raw), meV/atom: -199.9
Final energy, eV per atom: -2.4349

Entry 3:
DFT (GGA-PBE) results for an optimized crystal structure of GeAuI.

Geometry as extended XYZ:
```
3
Lattice="4.070 0.000 0.000 -2.035 3.524 0.000 0.000 0.000 5.493" Properties=species:S:1:pos:R:3 pbc="T T T"
Ge 0.000 0.000 0.000
Au 2.035 1.175 1.250
I 0.000 2.350 3.328
```

Summary:
Space group: No. 156
ΔE_f (raw), meV/atom: 41.2
Distance to the lowest polymorph of the same formula, kJ/mol of formula units: 18
Final energy, eV per atom: -3.1071